Record 1
DFT (GGA+U) results for a relaxed structure of CaEuZnWO6.

Unit cell a=5.6575 b=5.6575 c=5.6575 alpha=60.00 beta=60.00 gamma=60.00
With the nearest neighbours (Å) after each atom.
Fractional coordinates of all 10 atoms:
O: 0.2574 0.7426 0.7426  1 W 1.94, 1 Zn 2.06
O: 0.7426 0.7426 0.2574  1 W 1.94, 1 Zn 2.06
O: 0.7426 0.2574 0.7426  1 W 1.94, 1 Zn 2.06
O: 0.7426 0.2574 0.2574  1 W 1.94, 1 Zn 2.06
O: 0.2574 0.7426 0.2574  1 W 1.94, 1 Zn 2.06
O: 0.2574 0.2574 0.7426  1 W 1.94, 1 Zn 2.06
Zn: 0.0000 0.0000 0.0000  6 O 2.06
Eu: 0.2500 0.2500 0.2500  12 O 2.83
Ca: 0.7500 0.7500 0.7500  12 O 2.83
W: 0.5000 0.5000 0.5000  6 O 1.94

Computed properties:
For the total magnetization, the calculation gives 7.00 μB/f.u. For the electronic total energy, the calculation gives -7.35 eV/atom.


Record 2
DFT (GGA+U) results for a relaxed structure of CaEuZrWO6.

Unit cell a=5.8309 b=5.8309 c=5.8309 alpha=60.00 beta=60.00 gamma=60.00
With the nearest neighbours (Å) after each atom.
Fractional coordinates of all 10 atoms:
Ca: 0.2500 0.2500 0.2500  12 O 2.92
O: 0.7477 0.7477 0.2523  1 W 2.04, 1 Zr 2.08
O: 0.2523 0.7477 0.7477  1 W 2.04, 1 Zr 2.08
O: 0.2523 0.7477 0.2523  1 W 2.04, 1 Zr 2.08
O: 0.7477 0.2523 0.7477  1 W 2.04, 1 Zr 2.08
O: 0.2523 0.2523 0.7477  1 W 2.04, 1 Zr 2.08
O: 0.7477 0.2523 0.2523  1 W 2.04, 1 Zr 2.08
Eu: 0.7500 0.7500 0.7500  12 O 2.92
Zr: 0.0000 0.0000 0.0000  6 O 2.08
W: 0.5000 0.5000 0.5000  6 O 2.04

Computed properties:
For the total magnetization, the calculation gives 9.00 μB/f.u. For the electronic total energy, the calculation gives -8.45 eV/atom. The calculation puts the density of states at the Fermi level at 1.26 states/eV/atom.